Below is a relaxed structure of MnOF2, with properties calculated at the PBE with a Hubbard U level.

Total magnetic moment   3.0 μB per formula unit
Mass density   2.73 g/cm3
Space-group type   No. 166
V   198.5 Å³ per cell
Final energy   -5.26 eV/atom

```
MnOF2
1.0
3.279 0.000 0.000
-1.640 2.840 0.000
0.000 0.000 21.319
Mn O F
3 3 6
Cartesian
0.000 0.000 0.000
0.000 1.893 14.212
1.640 0.947 7.106
0.000 0.000 10.659
0.000 1.893 3.553
1.640 0.947 17.765
0.000 0.000 8.099
0.000 0.000 13.219
0.000 1.893 0.993
0.000 1.893 6.113
1.640 0.947 15.205
1.640 0.947 20.326
```